Entry 1:
Here is a relaxed structure of Pr3DySc2 from the Alexandria database. Energies are from PBE-GGA.

Cell and atoms, written as POSCAR:
```
Pr3DySc2
1.0
7.301 -4.923 0.000
7.301 4.923 0.000
0.000 0.000 5.549
Pr Dy Sc
6 2 4
direct
0.093 0.907 0.750
0.110 0.379 0.250
0.379 0.110 0.750
0.621 0.890 0.250
0.890 0.621 0.750
0.907 0.093 0.250
0.279 0.721 0.250
0.721 0.279 0.750
0.305 0.489 0.750
0.489 0.305 0.250
0.511 0.695 0.750
0.695 0.511 0.250
```

Calculated values
Its formation energy is 0.258 eV per atom. The mass density is 5.6 g/cm3. The density of states at the Fermi level comes out at 10.78 states/eV/f.u. The total magnetic moment comes out at 0.0 μB per formula unit.

***

Entry 2:
Here is a relaxed structure of PrDySc from the Alexandria database. Energies are from PBE-GGA.

Cell and atoms, written as POSCAR:
```
PrDySc
1.0
5.552 0.000 0.000
-2.776 4.808 0.000
0.000 0.000 3.434
Pr Dy Sc
1 1 1
direct
0.000 0.000 0.000
0.333 0.667 0.500
0.667 0.333 0.500
```

Calculated values
Its formation energy is 0.088 eV per atom. The mass density is 6.3 g/cm3. The density of states at the Fermi level comes out at 4.64 states/eV/f.u. The total magnetic moment comes out at 0.0 μB per formula unit.

***

Entry 3:
Here is a relaxed structure of Pr2Dy3Sc4 from the Alexandria database. Energies are from PBE-GGA.

Cell and atoms, written as POSCAR:
```
Pr2Dy3Sc4
1.0
8.081 -5.653 0.000
8.081 5.653 0.000
-0.782 0.000 5.774
Pr Dy Sc
4 6 8
direct
0.003 0.749 0.702
0.251 0.997 0.798
0.749 0.003 0.202
0.997 0.251 0.298
0.133 0.867 0.250
0.228 0.454 0.388
0.454 0.228 0.888
0.546 0.772 0.112
0.772 0.546 0.612
0.867 0.133 0.750
0.098 0.372 0.844
0.330 0.571 0.962
0.372 0.098 0.344
0.429 0.670 0.538
0.571 0.330 0.462
0.628 0.902 0.656
0.670 0.429 0.038
0.902 0.628 0.156
```

Calculated values
Its formation energy is 0.109 eV per atom. The mass density is 6.0 g/cm3. The density of states at the Fermi level comes out at 14.56 states/eV/f.u. The total magnetic moment comes out at 0.0 μB per formula unit.